[1]
Material: BaP2AuO8
Method: DFT, GGA-PBE
State: relaxed

a b c (Å): 4.969 4.969 8.553
angles (deg): 73.11 73.11 60.00
Last column: magnetic moment on the atom in μB.
Positions (direct):
Ba: 0.000 0.000 0.000  0.00
P: 0.756 0.756 0.732  0.00
P: 0.244 0.244 0.268  0.00
Au: 0.500 0.500 0.500  0.42
O: 0.692 0.692 0.923  0.05
O: 0.308 0.308 0.077  0.05
O: 0.507 0.256 0.325  0.07
O: 0.744 0.493 0.675  0.07
O: 0.088 0.744 0.675  0.07
O: 0.256 0.912 0.325  0.07
O: 0.912 0.507 0.325  0.07
O: 0.493 0.088 0.675  0.07

Output
theoretical density = 5.1 g cm⁻³
ΔE_f (raw) = -1.718 eV/atom
symmetry = No. 155

=====

[2]
Material: MgNiSe
Method: DFT, GGA-PBE
State: relaxed

a b c (Å): 4.134 5.336 6.508
angles (deg): 109.01 67.53 122.68
Positions (direct):
Ni: 0.385 0.013 0.854
Ni: 0.575 0.624 0.919
Mg: 0.110 0.462 0.646
Mg: 0.968 0.700 0.195
Se: 0.205 0.317 0.195
Se: 0.926 0.907 0.640

Output
theoretical density = 4.9 g cm⁻³
ΔE_f (raw) = -0.474 eV/atom
symmetry = No. 1

=====

[3]
Material: ZrGe3Cl
Method: DFT, GGA-PBE
State: relaxed

a b c (Å): 5.285 5.285 5.285
angles (deg): 90.00 90.00 90.00
Positions (direct):
Ge: 0.000 0.500 0.000
Ge: 0.000 0.000 0.500
Ge: 0.500 0.000 0.000
Zr: 0.000 0.000 0.000
Cl: 0.500 0.500 0.500

Output
excess energy over the best structure of this formula in the dataset = 0 meV per atom
theoretical density = 3.9 g cm⁻³
ΔE_f (raw) = 0.436 eV/atom
symmetry = No. 221

=====

[4]
Material: SrHfCuS4
Method: DFT, GGA-PBE
State: relaxed

a b c (Å): 6.482 5.599 8.249
angles (deg): 90.00 108.99 90.00
Positions (direct):
Sr: 0.745 0.750 0.947
Sr: 0.255 0.250 0.053
Hf: 0.731 0.750 0.439
Hf: 0.269 0.250 0.561
Cu: 0.245 0.750 0.315
Cu: 0.755 0.250 0.685
S: 0.027 0.515 0.705
S: 0.973 0.015 0.295
S: 0.973 0.485 0.295
S: 0.027 0.985 0.705
S: 0.443 0.750 0.139
S: 0.557 0.250 0.861
S: 0.450 0.750 0.595
S: 0.550 0.250 0.405

Output
theoretical density = 5.4 g cm⁻³
ΔE_f (raw) = -1.219 eV/atom
symmetry = No. 11

=====

[5]
Material: LaTb4Pm7
Method: DFT, GGA-PBE
State: relaxed

a b c (Å): 6.049 11.715 6.792
angles (deg): 83.01 63.56 75.04
Positions (direct):
La: 0.000 0.000 0.000
Tb: 0.634 0.225 0.508
Tb: 0.366 0.775 0.492
Tb: 0.747 0.684 0.821
Tb: 0.253 0.316 0.179
Pm: 0.791 0.920 0.498
Pm: 0.209 0.080 0.502
Pm: 0.058 0.667 0.216
Pm: 0.942 0.333 0.784
Pm: 0.369 0.503 0.758
Pm: 0.500 0.000 0.000
Pm: 0.631 0.497 0.242

Output
excess energy over the best structure of this formula in the dataset = 230 meV per atom
theoretical density = 7.1 g cm⁻³
symmetry = No. 12
formation energy from the elements = 236 meV per atom

=====

[6]
Material: Tl3RhC
Method: DFT, GGA-PBE
State: relaxed

a b c (Å): 4.795 4.795 4.795
angles (deg): 90.00 90.00 90.00
Positions (direct):
Tl: 0.000 0.500 0.000
Tl: 0.000 0.000 0.500
Tl: 0.500 0.000 0.000
Rh: 0.500 0.500 0.500
C: 0.000 0.000 0.000

Output
excess energy over the best structure of this formula in the dataset = 78 meV per atom
theoretical density = 11.0 g cm⁻³
symmetry = No. 221
formation energy from the elements = 1297 meV per atom

=====

[7]
Material: NaBPb
Method: DFT, GGA-PBE
State: relaxed

a b c (Å): 10.897 10.897 3.197
angles (deg): 90.00 90.00 158.54
Positions (direct):
Pb: 0.200 0.800 0.250
Pb: 0.800 0.200 0.750
Na: 0.425 0.575 0.250
Na: 0.575 0.425 0.750
B: 0.002 0.998 0.250
B: 0.998 0.002 0.750

Output
theoretical density = 5.8 g cm⁻³
symmetry = No. 63
formation energy from the elements = 143 meV per atom

=====

[8]
Material: B5C
Method: DFT, GGA-PBE
State: relaxed

a b c (Å): 2.793 5.089 6.303
angles (deg): 100.65 90.00 90.00
Positions (direct):
B: 0.500 0.702 0.359
B: 0.500 0.404 0.212
B: 0.500 0.466 0.905
B: 0.500 0.145 0.997
B: 0.000 0.724 0.620
B: 0.000 0.378 0.663
B: 0.000 0.434 0.389
B: 0.000 0.163 0.193
B: 0.000 0.919 0.002
B: 0.500 0.166 0.706
C: 0.000 0.627 0.873
C: 0.500 0.873 0.580

Output
excess energy over the best structure of this formula in the dataset = 131 meV per atom
theoretical density = 2.5 g cm⁻³
symmetry = No. 6
formation energy from the elements = 328 meV per atom

=====

[9]
Material: Ta2CoTe
Method: DFT, GGA-PBE
State: relaxed

a b c (Å): 4.678 4.678 3.246
angles (deg): 90.00 90.00 103.57
Last column: magnetic moment on the atom in μB.
Positions (direct):
Co: 0.000 0.500 0.500  0.95
Ta: 0.000 0.000 0.000  0.02
Ta: 0.500 0.500 0.000  0.02
Te: 0.500 0.000 0.500  0.00

Output
theoretical density = 13.2 g cm⁻³
ΔE_f (raw) = 0.290 eV/atom
symmetry = No. 65

=====

[10]
Material: Zr4W
Method: DFT, GGA-PBE
State: relaxed

a b c (Å): 7.111 7.111 7.111
angles (deg): 60.00 60.00 60.00
Positions (direct):
Zr: 0.895 0.895 0.895
Zr: 0.316 0.895 0.895
Zr: 0.895 0.895 0.316
Zr: 0.934 0.355 0.355
Zr: 0.355 0.355 0.355
Zr: 0.895 0.316 0.895
Zr: 0.355 0.355 0.934
Zr: 0.355 0.934 0.355
W: 0.500 0.500 0.500
W: 0.750 0.750 0.750

Output
excess energy over the best structure of this formula in the dataset = 889 meV per atom
theoretical density = 7.2 g cm⁻³
symmetry = No. 227
formation energy from the elements = 1077 meV per atom

=====

[11]
Material: Cs2RbBiF
Method: DFT, GGA-PBE
State: relaxed

a b c (Å): 6.036 6.036 5.749
angles (deg): 90.00 90.00 90.00
Last column: magnetic moment on the atom in μB.
Positions (direct):
Cs: 0.000 0.500 0.000  0.02
Cs: 0.500 0.000 0.000  0.02
Bi: 0.500 0.500 0.500  0.52
Rb: 0.000 0.000 0.500  0.00
F: 0.000 0.000 0.000  0.00

Output
theoretical density = 4.6 g cm⁻³
ΔE_f (raw) = -1.214 eV/atom
symmetry = No. 123

=====

[12]
Material: AcPmBi4
Method: DFT, GGA-PBE
State: relaxed

a b c (Å): 6.633 6.633 6.633
angles (deg): 60.00 60.00 60.00
Positions (direct):
Ac: 0.250 0.250 0.250
Bi: 0.625 0.625 0.124
Bi: 0.625 0.124 0.625
Bi: 0.625 0.625 0.625
Bi: 0.124 0.625 0.625
Pm: 0.000 0.000 0.000

Output
theoretical density = 9.7 g cm⁻³
symmetry = No. 216
formation energy from the elements = -284 meV per atom